Li2SbH2: relaxed, PBE.

The calculation puts the energy above the lowest structure with this stoichiometry at 0.510 eV/atom.

The structure belongs to space group P4/mbm (No. 127); the cell edges are 7.891, 7.891 and 3.009 Å and the angles 90.00°, 90.00° and 90.00°. Symmetry generates all atoms from Li at (0.214, 0.286, 0.000), Sb at (0.000, 0.000, 0.000) and H at (0.203, 0.703, 0.500).

Hf2Fe2Re: relaxed, PBE.

Its energy of formation is -0.1391 eV per atom.

The structure belongs to space group P4/mbm (No. 127); the cell edges are 6.192, 6.192 and 4.170 Å and the angles 90.00°, 90.00° and 90.00°. Symmetry generates all atoms from Hf at (0.181, 0.319, 0.000), Fe at (0.131, 0.631, 0.500) and Re at (0.000, 0.000, 0.500).

Dy5Bi2CSe: relaxed, PBE.

As for the raw formation energy: -784 meV per atom.

The structure belongs to space group P4/mmm (No. 123); the cell edges are 4.681, 4.681 and 10.975 Å and the angles 90.00°, 90.00° and 90.00°. Symmetry generates all atoms from Dy at (0.000, 0.000, 0.000), Dy at (0.000, 0.500, 0.500), Dy at (0.500, 0.500, 0.260), Bi at (0.000, 0.000, 0.285), C at (0.500, 0.500, 0.500) and Se at (0.500, 0.500, 0.000).

ZnRuPb: relaxed, PBE.

Its energy of formation is 0.2213 eV per atom.

The structure belongs to space group I4mm (No. 107); the cell edges are 3.372, 3.372 and 9.516 Å and the angles 90.00°, 90.00° and 90.00°. Symmetry generates all atoms from Zn at (0.000, 0.000, 0.000), Ru at (0.000, 0.000, 0.383) and Pb at (0.000, 0.000, 0.700).

What energy values result from the calculations? In sequence: -13.3, -50.0, -50.5, -13.6 eV/f.u..